(1)
Computed, not measured: crystalline CoMo2AsOs at its relaxed geometry at the PBE-GGA level of DFT.

Results
Formation enthalpy at 0 K: 1.6432 eV/atom

a b c (Å): 4.5523 4.5523 4.4623
angles (deg): 90.00 90.00 90.00
Fractional positions:
Os 0.0000 0.0000 0.5000
Co 0.5000 0.5000 0.5000
As 0.0000 0.0000 0.0000
Mo 0.5000 0.0000 0.0000
Mo 0.0000 0.5000 0.0000



(2)
Computed, not measured: crystalline CoMoAs2Se at its relaxed geometry at the PBE-GGA level of DFT.

Results
Uncorrected formation energy: 0.7341 eV per atom
Offset from the most stable computed form: 0 meV per atom

a b c (Å): 4.4447 4.4447 4.8634
angles (deg): 90.00 90.00 90.00
Fractional positions:
Mo 0.5000 0.5000 0.5000
Se 0.0000 0.0000 0.5000
Co 0.0000 0.0000 0.0000
As 0.5000 0.0000 0.0000
As 0.0000 0.5000 0.0000



(3)
Computed, not measured: crystalline Co2AsN at its relaxed geometry at the PBE-GGA level of DFT.

Results
Uncorrected formation energy: 0.0126 eV per atom
Offset from the most stable computed form: 0 meV per atom

a b c (Å): 4.6209 4.6209 5.8487
angles (deg): 66.73 66.73 90.00
Fractional positions:
Co 0.3750 0.4716 0.7500
Co 0.5284 0.1250 0.2500
Co 0.8750 0.7784 0.7500
Co 0.2216 0.6250 0.2500
As 0.7500 0.2500 0.5000
As 0.0000 0.0000 0.0000
N 0.2500 0.7500 0.5000
N 0.5000 0.5000 0.0000



(4)
Computed, not measured: crystalline Co2AsN at its relaxed geometry at the PBE-GGA level of DFT.

Results
Uncorrected formation energy: 0.6908 eV per atom
Offset from the most stable computed form: 678 meV per atom

a b c (Å): 3.9292 3.9292 3.9292
angles (deg): 60.00 60.00 60.00
Fractional positions:
Co 0.2500 0.2500 0.2500
Co 0.7500 0.7500 0.7500
N 0.0000 0.0000 0.0000
As 0.5000 0.5000 0.5000



(5)
Computed, not measured: crystalline CoAs3N at its relaxed geometry at the PBE-GGA level of DFT.

Results
Uncorrected formation energy: 1.3195 eV per atom
Offset from the most stable computed form: 419 meV per atom

a b c (Å): 4.4691 4.4691 4.4691
angles (deg): 90.00 90.00 90.00
Fractional positions:
As 0.0000 0.5000 0.0000
As 0.5000 0.0000 0.0000
As 0.0000 0.0000 0.5000
N 0.5000 0.5000 0.5000
Co 0.0000 0.0000 0.0000



(6)
Computed, not measured: crystalline CoAsN2 at its relaxed geometry at the PBE-GGA level of DFT.

Results
Uncorrected formation energy: 0.5612 eV per atom

a b c (Å): 6.0603 6.0603 6.0603
angles (deg): 27.74 27.74 27.74
Fractional positions:
As 0.0000 0.0000 0.0000
Co 0.5000 0.5000 0.5000
N 0.1125 0.1125 0.1125
N 0.8875 0.8875 0.8875



(7)
Computed, not measured: crystalline CoAsN2 at its relaxed geometry at the PBE-GGA level of DFT.

Results
Uncorrected formation energy: 0.5972 eV per atom

a b c (Å): 6.0800 6.0800 6.0800
angles (deg): 27.77 27.77 27.77
Fractional positions:
N 0.1056 0.1056 0.1056
N 0.8944 0.8944 0.8944
Co 0.0000 0.0000 0.0000
As 0.5000 0.5000 0.5000



(8)
Computed, not measured: crystalline CoAs3N at its relaxed geometry at the PBE-GGA level of DFT.

Results
Uncorrected formation energy: 0.9002 eV per atom
Offset from the most stable computed form: 0 meV per atom

a b c (Å): 4.2428 4.2428 4.2428
angles (deg): 90.00 90.00 90.00
Fractional positions:
As 0.0000 0.5000 0.0000
As 0.5000 0.0000 0.0000
As 0.0000 0.0000 0.5000
N 0.0000 0.0000 0.0000
Co 0.5000 0.5000 0.5000



no.,total magnetic moment (μB per formula unit)
1,0.1
2,2.5
3,0.0
4,2.0
5,0.0
6,0.0
7,1.5
8,1.0